No. 1
Below is a geometry-optimized TbYPu2S4 structure, with properties calculated at the PBE level.

## Properties
Formation energy (no corrections) = -15.3 eV/f.u.
Calculated total energy = -0.6576 Ry per atom

```
TbYPu2S4
1.0
6.805 0.000 0.000
0.000 3.929 0.000
-2.268 0.000 6.463
Tb Y Pu S
1 1 2 4
Cartesian
0.000 0.000 0.000
3.402 1.964 0.000
-1.134 1.964 3.231
2.268 0.000 3.231
1.136 1.964 1.603
0.004 0.000 4.862
4.533 0.000 1.601
3.400 1.964 4.860
```

No. 2
Below is a geometry-optimized HfTi2ZnN structure, with properties calculated at the PBE level.

## Properties
Formation energy (no corrections) = -4.3 eV/f.u.
Calculated total energy = -0.5821 Ry per atom

```
HfTi2ZnN
1.0
4.124 0.000 0.000
0.000 4.124 0.000
0.000 0.000 4.383
Hf Ti Zn N
1 2 1 1
Cartesian
0.000 0.000 0.000
0.000 2.062 2.191
2.062 0.000 2.191
2.062 2.062 0.000
0.000 0.000 2.191
```

No. 3
Below is a geometry-optimized CaTl2Os structure, with properties calculated at the PBE level.

## Properties
Formation enthalpy at 0 K = 396 meV/atom
Calculated total energy = -0.3010 Ry per atom

```
CaTl2Os
1.0
7.012 0.000 0.000
0.000 7.012 0.000
0.000 0.000 7.012
Ca Tl Os
4 8 4
Cartesian
0.000 0.000 0.000
0.000 3.506 3.506
3.506 0.000 3.506
3.506 3.506 0.000
1.753 1.753 1.753
1.753 1.753 5.259
1.753 5.259 1.753
1.753 5.259 5.259
5.259 1.753 1.753
5.259 1.753 5.259
5.259 5.259 1.753
5.259 5.259 5.259
0.000 0.000 3.506
0.000 3.506 0.000
3.506 0.000 0.000
3.506 3.506 3.506
```